# Li2MgRh

A relaxed structure of Li2MgRh (PBE, Alexandria via LeMat-Bulk).

abc: 3.6979 3.6979 9.8890
angles: 79.22 79.22 90.00
Fractional positions:
Mg 0.5000 0.5000 0.0000
Mg 0.2500 0.7500 0.5000
Rh 0.0000 0.0000 0.0000
Rh 0.7500 0.2500 0.5000
Li 0.6504 0.1250 0.2500
Li 0.0996 0.6250 0.2500
Li 0.3750 0.3496 0.7500
Li 0.8750 0.9004 0.7500

## Properties
- SG = I-42d (122)
- formation energy (eV per atom) = -0.06
- density of states at the Fermi level (states/eV per atom) = 0.56

# Ac2PbS

A relaxed structure of Ac2PbS (PBE, Alexandria via LeMat-Bulk).

abc: 4.6240 4.6240 7.9358
angles: 73.06 73.06 60.00
Fractional positions:
Pb 0.5000 0.5000 0.5000
Ac 0.7431 0.7431 0.7706
Ac 0.2569 0.2569 0.2294
S 0.0000 0.0000 0.0000

## Properties
- SG = R-3m (166)
- density of states at the Fermi level (states/eV per atom) = 0.66
- distance to the lowest polymorph of the same formula (meV/atom) = 23.4
- uncorrected formation energy (meV per atom) = -1198

# LiAl4Au

A relaxed structure of LiAl4Au (PBE, Alexandria via LeMat-Bulk).

abc: 5.3298 5.3298 5.3298
angles: 60.00 60.00 60.00
Fractional positions:
Li 0.0000 0.0000 0.0000
Al 0.8769 0.3744 0.3744
Al 0.3744 0.3744 0.8769
Al 0.3744 0.8769 0.3744
Al 0.3744 0.3744 0.3744
Au 0.7500 0.7500 0.7500

## Properties
- SG = F-43m (216)
- formation energy (eV per atom) = 0.02
- density of states at the Fermi level (states/eV per atom) = 0.35

# MnHRu2Pt

A relaxed structure of MnHRu2Pt (PBE, Alexandria via LeMat-Bulk).

abc: 3.8699 3.8699 3.8933
angles: 90.00 90.00 90.00
Each line ends with the local moment (μB).
Fractional positions:
Ru 0.0000 0.5000 0.0000  -0.31
Ru 0.5000 0.0000 0.0000  -0.31
Mn 0.0000 0.0000 0.5000  2.95
Pt 0.5000 0.5000 0.5000  0.02
H 0.0000 0.0000 0.0000  -0.01

## Properties
- E (eV/cell) = -37.298
- SG = P4/mmm (123)
- density of states at the Fermi level (states/eV per atom) = 0.83

# Al4HgTe

A relaxed structure of Al4HgTe (PBE, Alexandria via LeMat-Bulk).

abc: 5.6320 5.6320 5.6320
angles: 60.00 60.00 60.00
Fractional positions:
Al 0.8739 0.3754 0.3754
Al 0.3754 0.3754 0.8739
Al 0.3754 0.8739 0.3754
Al 0.3754 0.3754 0.3754
Hg 0.7500 0.7500 0.7500
Te 0.0000 0.0000 0.0000

## Properties
- SG = F-43m (216)
- density of states at the Fermi level (states/eV per atom) = 0.48
- uncorrected formation energy (meV per atom) = 237

# CsKRhO2

A relaxed structure of CsKRhO2 (PBE, Alexandria via LeMat-Bulk).

abc: 5.9655 5.4814 6.6059
angles: 90.00 90.00 90.00
Fractional positions:
Cs 0.2079 0.2500 0.5000
Cs 0.7921 0.7500 0.5000
K 0.5010 0.7500 0.0000
K 0.4990 0.2500 0.0000
Rh 0.0000 0.0000 0.0000
Rh 0.0000 0.5000 0.0000
O 0.8623 0.2500 0.8001
O 0.8623 0.2500 0.1999
O 0.1377 0.7500 0.8001
O 0.1377 0.7500 0.1999

## Properties
- SG = Pmma (51)
- density of states at the Fermi level (states/eV per atom) = 0.33
- uncorrected formation energy (meV per atom) = -883